Run a
Material: Sc3CdPb
Method: DFT, PBE-GGA
State: optimized geometry

Properties
M_tot = 0.0 μB/f.u.
Symmetry = No. 221

Lattice parameters (Å, degrees): 5.2568 5.2568 5.2568 90.00 90.00 90.00
Sites, in units of the cell vectors:
Pb 0.5000 0.5000 0.5000
Sc 0.0000 0.5000 0.0000
Sc 0.0000 0.0000 0.5000
Sc 0.5000 0.0000 0.0000
Cd 0.0000 0.0000 0.0000

Run b
Material: Sc3CdPb
Method: DFT, PBE-GGA
State: optimized geometry

Properties
M_tot = 1.1 μB/f.u.
Symmetry = No. 221

Lattice parameters (Å, degrees): 5.4152 5.4152 5.4152 90.00 90.00 90.00
Site moments in Bohr magnetons follow the coordinates.
Sites, in units of the cell vectors:
Pb 0.0000 0.0000 0.0000  0.00
Sc 0.0000 0.5000 0.0000  0.20
Sc 0.0000 0.0000 0.5000  0.18
Sc 0.5000 0.0000 0.0000  0.20
Cd 0.5000 0.5000 0.5000  0.02

Most stable structure among those shown: run a.